(1)
The following is a DFT calculation (GGA-PBE) of an optimized crystal structure of NdSiNO.

```
NdSiNO
1.0
4.690 0.000 0.000
0.000 4.690 0.000
0.000 0.000 5.042
Nd Si N O
2 2 2 2
Direct
0.250 0.750 0.000
0.750 0.250 0.000
0.250 0.250 0.499
0.750 0.750 0.501
0.250 0.250 0.160
0.750 0.750 0.840
0.250 0.750 0.500
0.750 0.250 0.500
```

Summary:
The calculation puts the energy relative to the lowest polymorph listed for this composition at 458 meV per atom. The calculation puts the total moment at 0.00 μB/f.u.

(2)
The following is a DFT calculation (GGA-PBE) of an optimized crystal structure of Zr6Bi2As.

```
Zr6Bi2As
1.0
7.764 0.000 0.000
-3.882 6.724 0.000
0.000 0.000 3.911
Zr Bi As
6 2 1
Direct
0.000 0.380 0.000
0.000 0.757 0.500
0.243 0.243 0.500
0.380 0.000 0.000
0.620 0.620 0.000
0.757 0.000 0.500
0.333 0.667 0.500
0.667 0.333 0.500
0.000 0.000 0.000
```

Summary:
The total energy is -7.65 eV/atom. The calculation puts the total moment at 0.00 μB/f.u.

(3)
The following is a DFT calculation (GGA-PBE) of an optimized crystal structure of HgSbIr2.

```
HgSbIr2
1.0
0.000 3.316 3.316
3.316 0.000 3.316
3.316 3.316 0.000
Hg Sb Ir
1 1 2
Direct
0.000 0.000 0.000
0.750 0.750 0.750
0.250 0.250 0.250
0.500 0.500 0.500
```

Summary:
The total energy is -4.94 eV/atom. The calculation puts the total moment at 0.01 μB/f.u.

(4)
The following is a DFT calculation (GGA-PBE) of an optimized crystal structure of YNiTe2.

```
YNiTe2
1.0
0.000 3.614 3.614
3.614 0.000 3.614
3.614 3.614 0.000
Y Ni Te
1 1 2
Direct
0.000 0.000 0.000
0.250 0.250 0.250
0.500 0.500 0.500
0.750 0.750 0.750
```

Summary:
The total energy is -4.69 eV/atom. The calculation puts the total moment at 0.00 μB/f.u.

(5)
The following is a DFT calculation (GGA-PBE) of an optimized crystal structure of LiTlPd2.

```
LiTlPd2
1.0
0.000 3.221 3.221
3.221 0.000 3.221
3.221 3.221 0.000
Li Tl Pd
1 1 2
Direct
0.000 0.000 0.000
0.750 0.750 0.750
0.250 0.250 0.250
0.500 0.500 0.500
```

Summary:
The total energy is -3.98 eV/atom.

(6)
The following is a DFT calculation (GGA-PBE) of an optimized crystal structure of Tb3GePd4.

```
Tb3GePd4
1.0
5.290 0.000 0.000
0.000 4.586 0.000
-0.931 0.000 6.902
Tb Ge Pd
3 1 4
Direct
0.000 0.000 0.000
0.122 0.000 0.487
0.484 0.500 0.878
0.733 0.500 0.327
0.220 0.500 0.235
0.550 0.000 0.218
0.634 0.000 0.650
0.956 0.500 0.700
```

Summary:
The total energy is -5.70 eV/atom. The calculation puts the total moment at 0.01 μB/f.u.

(7)
The following is a DFT calculation (GGA-PBE) of an optimized crystal structure of SnAsIrO.

```
SnAsIrO
1.0
3.329 0.000 0.000
0.000 6.265 0.000
0.000 0.000 7.304
Sn As Ir O
2 2 2 2
Direct
0.000 0.210 0.000
0.000 0.790 0.500
0.000 0.214 0.401
0.000 0.786 0.901
0.500 0.442 0.540
0.500 0.558 0.040
0.500 0.330 0.801
0.500 0.670 0.301
```

Summary:
The calculation puts the energy relative to the lowest polymorph listed for this composition at 532 meV per atom. The calculation puts the total moment at 0.00 μB/f.u.

(8)
The following is a DFT calculation (GGA-PBE) of an optimized crystal structure of Pu3Co.

```
Pu3Co
1.0
0.000 3.123 3.123
3.123 0.000 3.123
3.123 3.123 0.000
Pu Co
3 1
Direct
0.000 0.000 0.000
0.250 0.250 0.250
0.750 0.750 0.750
0.500 0.500 0.500
```

Summary:
The energy relative to the elements is 77 meV/atom. The calculation puts the energy relative to the lowest polymorph listed for this composition at 0 meV per atom. The calculation puts the total moment at 4.82 μB/f.u.

(9)
The following is a DFT calculation (GGA-PBE) of an optimized crystal structure of TaNiGeW.

```
TaNiGeW
1.0
0.000 3.131 3.131
3.131 0.000 3.131
3.131 3.131 0.000
Ta Ni Ge W
1 1 1 1
Direct
0.000 0.000 0.000
0.500 0.500 0.500
0.250 0.250 0.250
0.750 0.750 0.750
```

Summary:
The total energy is -8.43 eV/atom. The calculation puts the total moment at 0.03 μB/f.u.

(10)
The following is a DFT calculation (GGA-PBE) of an optimized crystal structure of ReBi2.

```
ReBi2
1.0
0.000 4.355 4.355
4.355 0.000 4.355
4.355 4.355 0.000
Re Bi
2 4
Direct
0.125 0.125 0.125
0.875 0.875 0.875
0.000 0.500 0.500
0.500 0.000 0.500
0.500 0.500 0.000
0.500 0.500 0.500
```

Summary:
The calculation puts the energy relative to the lowest polymorph listed for this composition at 1613 meV per atom. The calculation puts the total moment at 2.70 μB/f.u.

(11)
The following is a DFT calculation (GGA-PBE) of an optimized crystal structure of NaZrCdS3.

```
NaZrCdS3
1.0
1.923 -6.792 0.000
1.923 6.792 0.000
0.000 0.000 10.313
Na Zr Cd S
2 2 2 6
Direct
0.245 0.755 0.750
0.755 0.245 0.250
0.500 0.500 0.000
0.500 0.500 0.500
0.039 0.961 0.250
0.961 0.039 0.750
0.131 0.869 0.043
0.131 0.869 0.457
0.415 0.585 0.250
0.585 0.415 0.750
0.869 0.131 0.543
0.869 0.131 0.957
```

Summary:
The total energy is -4.81 eV/atom. The calculation puts the total moment at 0.98 μB/f.u.

(12)
The following is a DFT calculation (GGA-PBE) of an optimized crystal structure of NdAl3.

```
NdAl3
1.0
0.000 3.489 3.489
3.489 0.000 3.489
3.489 3.489 0.000
Nd Al
1 3
Direct
0.000 0.000 0.000
0.250 0.250 0.250
0.500 0.500 0.500
0.750 0.750 0.750
```

Summary:
The total energy is -4.06 eV/atom. The calculation puts the total moment at 0.01 μB/f.u.

(13)
The following is a DFT calculation (GGA-PBE) of an optimized crystal structure of ZnCu2Si.

```
ZnCu2Si
1.0
5.897 0.000 0.000
0.000 5.897 0.000
0.000 0.000 5.897
Zn Cu Si
4 8 4
Direct
0.000 0.000 0.000
0.000 0.000 0.500
0.000 0.500 0.000
0.500 0.000 0.000
0.253 0.253 0.253
0.253 0.253 0.747
0.253 0.747 0.253
0.253 0.747 0.747
0.747 0.253 0.253
0.747 0.253 0.747
0.747 0.747 0.253
0.747 0.747 0.747
0.000 0.500 0.500
0.500 0.000 0.500
0.500 0.500 0.000
0.500 0.500 0.500
```

Summary:
The total energy is -3.45 eV/atom.

(14)
The following is a DFT calculation (GGA-PBE) of an optimized crystal structure of PmPrGa.

```
PmPrGa
1.0
0.000 3.609 3.609
3.609 0.000 3.609
3.609 3.609 0.000
Pm Pr Ga
1 1 1
Direct
0.000 0.000 0.000
0.500 0.500 0.500
0.250 0.250 0.250
```

Summary:
The total energy is -4.42 eV/atom. The calculation puts the total moment at 0.57 μB/f.u.

(15)
The following is a DFT calculation (GGA-PBE) of an optimized crystal structure of LiGePbAu.

```
LiGePbAu
1.0
0.000 3.433 3.433
3.433 0.000 3.433
3.433 3.433 0.000
Li Ge Pb Au
1 1 1 1
Direct
0.000 0.000 0.000
0.500 0.500 0.500
0.250 0.250 0.250
0.750 0.750 0.750
```

Summary:
The calculation puts the energy relative to the lowest polymorph listed for this composition at 13 meV per atom.

(16)
The following is a DFT calculation (GGA-PBE) of an optimized crystal structure of LiLuZnFe.

```
LiLuZnFe
1.0
0.000 3.210 3.210
3.210 0.000 3.210
3.210 3.210 0.000
Li Lu Zn Fe
1 1 1 1
Direct
0.000 0.000 0.000
0.250 0.250 0.250
0.500 0.500 0.500
0.750 0.750 0.750
```

Summary:
The calculation puts the energy relative to the lowest polymorph listed for this composition at 23 meV per atom. The calculation puts the total moment at 2.40 μB/f.u.

(17)
The following is a DFT calculation (GGA-PBE) of an optimized crystal structure of PrSmAg2Sn2.

```
PrSmAg2Sn2
1.0
4.798 0.000 0.000
-2.399 4.156 0.000
0.000 0.000 7.562
Pr Sm Ag Sn
1 1 2 2
Direct
0.000 0.000 0.000
0.000 0.000 0.501
0.333 0.667 0.203
0.667 0.333 0.693
0.333 0.667 0.775
0.667 0.333 0.283
```

Summary:
The total energy is -4.48 eV/atom. The calculation puts the total moment at 0.00 μB/f.u.

(18)
The following is a DFT calculation (GGA-PBE) of an optimized crystal structure of Be2Ag2O5.

```
Be2Ag2O5
1.0
3.582 0.000 0.000
0.000 3.582 0.000
0.000 0.000 8.513
Be Ag O
2 2 5
Direct
0.000 0.000 0.000
0.000 0.000 0.500
0.500 0.500 0.233
0.500 0.500 0.767
0.000 0.500 0.132
0.000 0.500 0.868
0.500 0.000 0.132
0.500 0.000 0.868
0.500 0.500 0.500
```

Summary:
The calculation puts the energy relative to the lowest polymorph listed for this composition at 1015 meV per atom.

(19)
The following is a DFT calculation (GGA-PBE) of an optimized crystal structure of BeZnCuOs.

```
BeZnCuOs
1.0
0.000 2.887 2.887
2.887 0.000 2.887
2.887 2.887 0.000
Be Zn Cu Os
1 1 1 1
Direct
0.000 0.000 0.000
0.500 0.500 0.500
0.750 0.750 0.750
0.250 0.250 0.250
```

Summary:
The calculation puts the energy relative to the lowest polymorph listed for this composition at 0 meV per atom. The calculation puts the total moment at 0.01 μB/f.u.

(20)
The following is a DFT calculation (GGA-PBE) of an optimized crystal structure of LaNdSm2Se3O4.

```
LaNdSm2Se3O4
1.0
8.393 0.000 0.000
0.000 1.994 6.452
0.000 -1.994 6.452
La Nd Sm Se O
1 1 2 3 4
Direct
0.000 0.000 0.000
0.500 0.019 0.019
0.238 0.685 0.685
0.762 0.685 0.685
0.000 0.310 0.310
0.349 0.357 0.357
0.651 0.357 0.357
0.000 0.592 0.592
0.246 0.092 0.092
0.500 0.619 0.619
0.754 0.092 0.092
```

Summary:
The calculation puts the energy relative to the lowest polymorph listed for this composition at 0 meV per atom. The calculation puts the total moment at 0.01 μB/f.u.

(21)
The following is a DFT calculation (GGA-PBE) of an optimized crystal structure of NdH3C2SO5.

```
NdH3C2SO5
1.0
8.914 0.000 0.000
0.000 7.800 0.000
-0.696 0.000 8.181
Nd H C S O
4 12 8 4 20
Direct
0.065 0.249 0.003
0.065 0.251 0.503
0.935 0.749 0.497
0.935 0.751 0.997
0.370 0.572 0.683
0.370 0.928 0.183
0.478 0.115 0.162
0.478 0.385 0.662
0.482 0.019 0.661
0.482 0.481 0.161
0.518 0.519 0.839
0.518 0.981 0.339
0.522 0.615 0.338
0.522 0.885 0.838
0.630 0.072 0.817
0.630 0.428 0.317
0.319 0.135 0.336
0.319 0.365 0.836
0.429 0.031 0.252
0.429 0.469 0.752
0.571 0.531 0.248
0.571 0.969 0.748
0.681 0.635 0.164
0.681 0.865 0.664
0.195 0.626 0.269
0.195 0.874 0.769
0.805 0.126 0.231
0.805 0.374 0.731
0.106 0.704 0.763
0.106 0.796 0.263
0.122 0.535 0.114
0.122 0.965 0.614
0.130 0.535 0.417
0.130 0.965 0.917
0.189 0.168 0.257
0.189 0.332 0.757
0.344 0.190 0.479
0.344 0.310 0.979
0.656 0.690 0.021
0.656 0.810 0.521
0.811 0.668 0.243
0.811 0.832 0.743
0.870 0.035 0.083
0.870 0.465 0.583
0.878 0.035 0.386
0.878 0.465 0.886
0.894 0.204 0.737
0.894 0.296 0.237
```

Summary:
The total energy is -6.58 eV/atom. The calculation puts the total moment at 0.00 μB/f.u.

(22)
The following is a DFT calculation (GGA-PBE) of an optimized crystal structure of NaNbOsPb.

```
NaNbOsPb
1.0
0.000 3.342 3.342
3.342 0.000 3.342
3.342 3.342 0.000
Na Nb Os Pb
1 1 1 1
Direct
0.000 0.000 0.000
0.500 0.500 0.500
0.750 0.750 0.750
0.250 0.250 0.250
```

Summary:
The calculation puts the energy relative to the lowest polymorph listed for this composition at 213 meV per atom. The calculation puts the total moment at 0.00 μB/f.u.

(23)
The following is a DFT calculation (GGA-PBE) of an optimized crystal structure of ErInAg.

```
ErInAg
1.0
0.000 3.366 3.366
3.366 0.000 3.366
3.366 3.366 0.000
Er In Ag
1 1 1
Direct
0.000 0.000 0.000
0.500 0.500 0.500
0.250 0.250 0.250
```

Summary:
The total energy is -3.65 eV/atom. The calculation puts the total moment at 0.00 μB/f.u.

(24)
The following is a DFT calculation (GGA-PBE) of an optimized crystal structure of Tb2GdMg3Ir2Pt.

```
Tb2GdMg3Ir2Pt
1.0
4.052 0.000 0.000
0.000 6.359 3.671
0.000 -6.359 3.671
Tb Gd Mg Ir Pt
2 1 3 2 1
Direct
0.000 0.207 0.793
0.000 0.793 0.207
0.000 0.620 0.620
0.500 0.207 0.454
0.500 0.454 0.207
0.500 0.960 0.960
0.500 0.540 0.873
0.500 0.873 0.540
0.000 0.207 0.207
```

Summary:
The total energy is -5.48 eV/atom. The calculation puts the total moment at 0.01 μB/f.u.

(25)
The following is a DFT calculation (GGA-PBE) of an optimized crystal structure of LiTaTcAs.

```
LiTaTcAs
1.0
0.000 3.073 3.073
3.073 0.000 3.073
3.073 3.073 0.000
Li Ta Tc As
1 1 1 1
Direct
0.000 0.000 0.000
0.750 0.750 0.750
0.500 0.500 0.500
0.250 0.250 0.250
```

Summary:
The calculation puts the energy relative to the lowest polymorph listed for this composition at 0 meV per atom. The calculation puts the total moment at 0.00 μB/f.u.